The following is a DFT calculation (PBE with a Hubbard U) of crystalline K2TbCoF6 at its relaxed geometry.

Cell and atoms, written as POSCAR:
```
K2TbCoF6
1.0
-2.720 -3.318 4.417
-0.257 -4.962 -3.886
7.898 -2.656 2.868
K Tb Co F
4 2 2 12
Direct
0.500 0.774 0.242 K
0.000 0.226 0.742 K
0.500 0.774 0.758 K
0.000 0.226 0.258 K
0.000 0.735 0.500 Tb
0.500 0.265 0.000 Tb
0.500 0.239 0.500 Co
0.000 0.761 0.000 Co
0.500 0.237 0.247 F
0.500 0.237 0.753 F
0.000 0.763 0.253 F
0.000 0.763 0.747 F
0.252 0.981 0.500 F
0.748 0.981 0.500 F
0.243 0.484 0.500 F
0.757 0.484 0.500 F
0.743 0.516 0.000 F
0.257 0.516 0.000 F
0.248 0.019 0.000 F
0.752 0.019 0.000 F
```

uncorrected energy = -0.38422 Ry per atom
magnetic moment = 2.01 μB per formula unit
Fermi-level density of states = 8.18 states/eV/cell